1.
First-principles (meta-GGA SCAN) data for a crystal of Tc2AgHg relaxed with PBEsol, as listed in Alexandria via LeMat-Bulk.

```
data_Tc2AgHg
_cell_length_a 4.014
_cell_length_b 4.014
_cell_length_c 4.815
_cell_angle_alpha 114.64
_cell_angle_beta 114.64
_cell_angle_gamma 90.00
_symmetry_space_group_name_H-M 'P 1'
_symmetry_Int_Tables_number 1
loop_
_symmetry_equiv_pos_as_xyz
'x,y,z'
loop_
_atom_site_label
_atom_site_type_symbol
_atom_site_fract_x
_atom_site_fract_y
_atom_site_fract_z
Tc1 Tc 0.750 0.250 0.500
Tc2 Tc 0.000 0.000 0.000
Ag1 Ag 0.500 0.500 0.000
Hg1 Hg 0.250 0.750 0.500
```

Output
ΔH_f (0 K) = 612 meV/atom
Total magnetic moment = 0.0 μB per formula unit
Total energy = -41.80 eV/atom
Space-group type = I-4m2 (119)

=====

2.
First-principles (meta-GGA SCAN) data for a crystal of SiRhS3 relaxed with PBEsol, as listed in Alexandria via LeMat-Bulk.

```
data_SiRhS3
_cell_length_a 4.548
_cell_length_b 4.548
_cell_length_c 4.548
_cell_angle_alpha 90.00
_cell_angle_beta 90.00
_cell_angle_gamma 90.00
_symmetry_space_group_name_H-M 'P 1'
_symmetry_Int_Tables_number 1
loop_
_symmetry_equiv_pos_as_xyz
'x,y,z'
loop_
_atom_site_label
_atom_site_type_symbol
_atom_site_fract_x
_atom_site_fract_y
_atom_site_fract_z
Rh1 Rh 0.000 0.000 0.000
S1 S 0.500 0.000 0.000
S2 S 0.000 0.000 0.500
S3 S 0.000 0.500 0.000
Si1 Si 0.500 0.500 0.500
```

Output
Total magnetic moment = 0.0 μB per formula unit
E_form (uncorrected) = 0.6385 eV/atom
Total energy = -13.90 eV/atom
Space-group type = Pm-3m (221)

=====

3.
First-principles (meta-GGA SCAN) data for a crystal of InHgRh2 relaxed with PBEsol, as listed in Alexandria via LeMat-Bulk.

```
data_InHgRh2
_cell_length_a 3.992
_cell_length_b 3.992
_cell_length_c 4.992
_cell_angle_alpha 113.57
_cell_angle_beta 113.57
_cell_angle_gamma 90.00
_symmetry_space_group_name_H-M 'P 1'
_symmetry_Int_Tables_number 1
loop_
_symmetry_equiv_pos_as_xyz
'x,y,z'
loop_
_atom_site_label
_atom_site_type_symbol
_atom_site_fract_x
_atom_site_fract_y
_atom_site_fract_z
Rh1 Rh 0.750 0.250 0.500
Rh2 Rh 0.000 0.000 0.000
Hg1 Hg 0.500 0.500 0.000
In1 In 0.250 0.750 0.500
```

Output
ΔH_f (0 K) = 48 meV/atom
Total magnetic moment = 0.0 μB per formula unit
Total energy = -42.23 eV/atom
Space-group type = I-4m2 (119)

=====

4.
First-principles (meta-GGA SCAN) data for a crystal of TcRh2Cl relaxed with PBEsol, as listed in Alexandria via LeMat-Bulk.

```
data_TcRh2Cl
_cell_length_a 2.776
_cell_length_b 2.776
_cell_length_c 7.256
_cell_angle_alpha 90.00
_cell_angle_beta 90.00
_cell_angle_gamma 90.00
_symmetry_space_group_name_H-M 'P 1'
_symmetry_Int_Tables_number 1
loop_
_symmetry_equiv_pos_as_xyz
'x,y,z'
loop_
_atom_site_label
_atom_site_type_symbol
_atom_site_fract_x
_atom_site_fract_y
_atom_site_fract_z
Tc1 Tc 0.000 0.000 0.501
Cl1 Cl 0.500 0.500 0.730
Rh1 Rh 0.000 0.000 0.005
Rh2 Rh 0.500 0.500 0.264
```

Output
ΔE to the lowest computed polymorph = 0.000 eV/atom
Total magnetic moment = 0.0 μB per formula unit
E_form (uncorrected) = 0.3653 eV/atom
Total energy = -27.28 eV/atom
Space-group type = P4mm (99)

=====

5.
First-principles (meta-GGA SCAN) data for a crystal of NbCr2BiSe relaxed with PBEsol, as listed in Alexandria via LeMat-Bulk.

```
data_NbCr2BiSe
_cell_length_a 5.036
_cell_length_b 5.036
_cell_length_c 5.602
_cell_angle_alpha 90.00
_cell_angle_beta 90.00
_cell_angle_gamma 90.00
_symmetry_space_group_name_H-M 'P 1'
_symmetry_Int_Tables_number 1
loop_
_symmetry_equiv_pos_as_xyz
'x,y,z'
loop_
_atom_site_label
_atom_site_type_symbol
_atom_site_fract_x
_atom_site_fract_y
_atom_site_fract_z
Nb1 Nb 0.500 0.500 0.500
Se1 Se 0.000 0.000 0.500
Cr1 Cr 0.000 0.500 0.000
Cr2 Cr 0.500 0.000 0.000
Bi1 Bi 0.000 0.000 0.000
```

Output
Total magnetic moment = 5.6 μB per formula unit
E_form (uncorrected) = 1.3509 eV/atom
Total energy = -32.36 eV/atom
Space-group type = P4/mmm (123)

=====

6.
First-principles (meta-GGA SCAN) data for a crystal of FeMoPt2 relaxed with PBEsol, as listed in Alexandria via LeMat-Bulk.

```
data_FeMoPt2
_cell_length_a 3.830
_cell_length_b 3.830
_cell_length_c 4.673
_cell_angle_alpha 114.19
_cell_angle_beta 114.19
_cell_angle_gamma 90.00
_symmetry_space_group_name_H-M 'P 1'
_symmetry_Int_Tables_number 1
loop_
_symmetry_equiv_pos_as_xyz
'x,y,z'
loop_
_atom_site_label
_atom_site_type_symbol
_atom_site_fract_x
_atom_site_fract_y
_atom_site_fract_z
Pt1 Pt 0.750 0.250 0.500
Pt2 Pt 0.500 0.500 0.000
Mo1 Mo 0.250 0.750 0.500
Fe1 Fe 0.000 0.000 0.000
```

Output
ΔH_f (0 K) = -272 meV/atom
Total magnetic moment = 2.1 μB per formula unit
Total energy = -48.62 eV/atom
Space-group type = I-4m2 (119)

=====

7.
First-principles (meta-GGA SCAN) data for a crystal of TbAlGe relaxed with PBEsol, as listed in Alexandria via LeMat-Bulk.

```
data_TbAlGe
_cell_length_a 4.032
_cell_length_b 5.542
_cell_length_c 5.726
_cell_angle_alpha 90.00
_cell_angle_beta 90.00
_cell_angle_gamma 111.33
_symmetry_space_group_name_H-M 'P 1'
_symmetry_Int_Tables_number 1
loop_
_symmetry_equiv_pos_as_xyz
'x,y,z'
loop_
_atom_site_label
_atom_site_type_symbol
_atom_site_fract_x
_atom_site_fract_y
_atom_site_fract_z
Tb1 Tb 0.309 0.618 0.250
Tb2 Tb 0.691 0.382 0.750
Al1 Al 0.000 0.000 0.500
Al2 Al 0.000 0.000 0.000
Ge1 Ge 0.605 0.210 0.250
Ge2 Ge 0.395 0.790 0.750
```

Output
ΔH_f (0 K) = -721 meV/atom
Total magnetic moment = 0.0 μB per formula unit
Total energy = -25.25 eV/atom
Space-group type = Cmcm (63)

=====

8.
First-principles (meta-GGA SCAN) data for a crystal of Te3P relaxed with PBEsol, as listed in Alexandria via LeMat-Bulk.

```
data_Te3P
_cell_length_a 3.183
_cell_length_b 3.183
_cell_length_c 10.427
_cell_angle_alpha 90.00
_cell_angle_beta 90.00
_cell_angle_gamma 110.40
_symmetry_space_group_name_H-M 'P 1'
_symmetry_Int_Tables_number 1
loop_
_symmetry_equiv_pos_as_xyz
'x,y,z'
loop_
_atom_site_label
_atom_site_type_symbol
_atom_site_fract_x
_atom_site_fract_y
_atom_site_fract_z
Te1 Te 0.500 0.500 0.800
Te2 Te 0.500 0.500 0.200
Te3 Te 0.000 0.000 0.500
P1 P 0.000 0.000 0.000
```

Output
ΔE to the lowest computed polymorph = 0.111 eV/atom
Total magnetic moment = 0.0 μB per formula unit
E_form (uncorrected) = 0.4748 eV/atom
Total energy = -30.06 eV/atom
Space-group type = Cmmm (65)